Entry 1:
Density functional theory data (PBE) for HoTm2Al3NiAg2 after structural relaxation.

Cell and atoms, written as POSCAR:
```
HoTm2Al3NiAg2
1.0
4.102 0.000 0.000
0.000 6.162 3.549
0.000 -6.162 3.549
Ho Tm Al Ni Ag
1 2 3 1 2
direct
0.000 0.000 0.000
0.000 0.399 0.796
0.000 0.796 0.399
0.500 0.175 0.399
0.500 0.399 0.175
0.500 0.624 0.624
0.000 0.401 0.401
0.500 0.067 0.731
0.500 0.731 0.067
```

Properties
- Electronic total energy: -40.48 eV/cell

***

Entry 2:
Density functional theory data (PBE) for YHo2Al3NiAg2 after structural relaxation.

Cell and atoms, written as POSCAR:
```
YHo2Al3NiAg2
1.0
4.129 0.000 0.000
0.000 6.212 3.574
0.000 -6.212 3.574
Y Ho Al Ni Ag
1 2 3 1 2
direct
0.000 0.000 0.000
0.000 0.400 0.797
0.000 0.797 0.400
0.500 0.177 0.399
0.500 0.399 0.177
0.500 0.624 0.624
0.000 0.403 0.403
0.500 0.067 0.731
0.500 0.731 0.067
```

Properties
- Electronic total energy: -42.57 eV/cell

***

Entry 3:
Density functional theory data (PBE) for HoAlAg2O4 after structural relaxation.

Cell and atoms, written as POSCAR:
```
HoAlAg2O4
1.0
3.171 0.000 0.000
-1.585 2.746 0.000
0.000 0.000 12.539
Ho Al Ag O
1 1 2 4
direct
0.000 0.000 0.000
0.000 0.000 0.500
0.333 0.667 0.262
0.667 0.333 0.738
0.333 0.667 0.096
0.333 0.667 0.430
0.667 0.333 0.570
0.667 0.333 0.904
```

Properties
- Electronic total energy: -49.38 eV/cell

***

Entry 4:
Density functional theory data (PBE) for TbHo2Al3AgPd2 after structural relaxation.

Cell and atoms, written as POSCAR:
```
TbHo2Al3AgPd2
1.0
3.881 0.000 0.000
0.000 6.392 3.685
0.000 -6.392 3.685
Tb Ho Al Ag Pd
1 2 3 1 2
direct
0.000 0.000 0.000
0.000 0.416 0.831
0.000 0.831 0.416
0.500 0.162 0.417
0.500 0.417 0.162
0.500 0.670 0.670
0.000 0.417 0.417
0.500 0.083 0.748
0.500 0.748 0.083
```

Properties
- Electronic total energy: -44.56 eV/cell

***

Entry 5:
Density functional theory data (PBE) for Y2HoAl3AgPd2 after structural relaxation.

Cell and atoms, written as POSCAR:
```
Y2HoAl3AgPd2
1.0
3.880 0.000 0.000
0.000 6.384 3.703
0.000 -6.384 3.703
Y Ho Al Ag Pd
2 1 3 1 2
direct
0.000 0.207 0.793
0.000 0.793 0.207
0.000 0.622 0.622
0.500 0.208 0.463
0.500 0.463 0.208
0.500 0.953 0.953
0.000 0.209 0.209
0.500 0.542 0.871
0.500 0.871 0.542
```

Properties
- Electronic total energy: -48.30 eV/cell

***

Entry 6:
Density functional theory data (PBE) for Pr2HoAl7Ag2 after structural relaxation.

Cell and atoms, written as POSCAR:
```
Pr2HoAl7Ag2
1.0
2.819 1.628 8.900
-2.819 1.628 8.900
0.000 -3.255 8.900
Pr Ho Al Ag
2 1 7 2
direct
0.142 0.142 0.142
0.858 0.858 0.858
0.000 0.000 0.000
0.074 0.585 0.585
0.415 0.415 0.926
0.415 0.926 0.415
0.500 0.500 0.500
0.585 0.074 0.585
0.585 0.585 0.074
0.926 0.415 0.415
0.336 0.336 0.336
0.664 0.664 0.664
```

Properties
- Electronic total energy: -51.12 eV/cell

***

electronic total energy of number 6 (Pr2HoAl7Ag2)? -51.12 eV/cell

***

The highest electronic total energy belongs to which entry? HoTm2Al3NiAg2